Material: Pr
Method: DFT, PBE-GGA
State: relaxed

ΔH_f (0 K)	12	meV per atom
E above lowest polymorph	0.012	eV per atom
calculated total energy	-4.762	eV/atom
crystal system	trigonal

Unit cell a=3.6479 b=3.6479 c=3.6479 alpha=61.46 beta=61.46 gamma=61.46
With the nearest neighbours (Å) after each atom.
Atoms (fractional coordinates):
Pr  0.0000  0.0000  0.0000  12 Pr 3.65-3.73